(1)
{
  "formula": "LaAg2Rh",
  "functional": "meta-GGA SCAN",
  "state": "PBEsol geometry",
  "lattice": [[4.0022, 0.0000, 0.0000], [0.0000, 4.0022, 0.0000], [0.0000, 0.0000, 4.7772]],
  "species": ["La", "Ag", "Ag", "Rh"],
  "fractional_positions": [[0.0000, 0.0000, 0.0000], [0.0000, 0.5000, 0.5000], [0.5000, 0.0000, 0.5000], [0.5000, 0.5000, 0.0000]],
  "de_polymorph_mev_per_atom": 92
}

(2)
{
  "formula": "La2AgRu",
  "functional": "meta-GGA SCAN",
  "state": "PBEsol geometry",
  "lattice": [[3.4746, 0.0000, 0.0000], [0.0000, 3.4746, 0.0000], [0.0000, 0.0000, 7.8487]],
  "species": ["La", "La", "Ag", "Ru"],
  "fractional_positions": [[0.0000, 0.0000, 0.2219], [0.0000, 0.0000, 0.7781], [0.5000, 0.5000, 0.5000], [0.5000, 0.5000, 0.0000]]
}

(3)
{
  "formula": "LaAg2Ru",
  "functional": "meta-GGA SCAN",
  "state": "PBEsol geometry",
  "lattice": [[0.0000, 3.3812, 3.3812], [3.3812, 0.0000, 3.3812], [3.3812, 3.3812, 0.0000]],
  "species": ["La", "Ag", "Ag", "Ru"],
  "fractional_positions": [[0.0000, 0.0000, 0.0000], [0.2500, 0.2500, 0.2500], [0.5000, 0.5000, 0.5000], [0.7500, 0.7500, 0.7500]]
}

The DFT total energy results, record by record, are as follows: -35.200, -38.394, -34.946 eV per atom.